Below is a relaxed structure of Fe2ClF2, with properties calculated at the PBE+U level.

The structure belongs to space group P4/mbm (No. 127); the cell edges are 6.659, 6.659 and 3.090 Å and the angles 90.00°, 90.00° and 90.00°. The inequivalent atoms are Fe at (0.165, 0.335, 0.000), Cl at (0.000, 0.000, 0.000) and F at (0.137, 0.637, 0.500).

As for the total magnetization: 7.22 μB per formula unit. The calculation puts the electronic total energy at -4.475 eV/atom. As for the density of states at the Fermi level: 5.31 states/eV/cell.